## CrBiO2 (PBE with a Hubbard U)

Data for a relaxed structure of CrBiO2.

Values from the calculation:
The calculation puts the raw total energy at -6.243 eV/atom. The calculated volume is 17.8 Å³ per atom. The value obtained for the size of the total moment is 1.084 μB per atom. As for the density of states at the Fermi level: 0.193 states/eV/atom.

abc: 6.6087 6.6087 6.6087
angles: 31.84 31.84 31.84
Sites, in units of the cell vectors:
Cr1 0.0000 0.0000 0.0000
Bi1 0.5000 0.5000 0.5000
O1 0.1049 0.1049 0.1049
O2 0.8951 0.8951 0.8951